<w>
The following is a DFT calculation (PBE-GGA) of FeReOs2 after structural relaxation.

Computed properties:
- SG = P4/mmm

a = 2.7131 Å, b = 2.7131 Å, c = 7.4877 Å
α = 90.00°, β = 90.00°, γ = 90.00°
Positions (direct):
Fe (0.0000, 0.0000, 0.0000)
Re (0.0000, 0.0000, 0.5000)
Os (0.5000, 0.5000, 0.2384)
Os (0.5000, 0.5000, 0.7616)

***

<x>
The following is a DFT calculation (PBE-GGA) of FeReOs2 after structural relaxation.

Computed properties:
- SG = Imm2

a = 5.1599 Å, b = 5.1599 Å, c = 5.1599 Å
α = 147.43°, β = 130.03°, γ = 60.92°
Positions (direct):
Fe (0.0000, 0.0000, 0.0000)
Re (0.7727, 0.2727, 0.5000)
Os (0.2277, 0.7277, 0.5000)
Os (0.5010, 0.5010, 0.0000)

***

It comes down to <w>, which is 182 meV per atom more stable than the next structure.

***

<w>
The following is a DFT calculation (PBE-GGA) of FeReOs3 after structural relaxation.

Computed properties:
- SG = Pm-3m

a = 4.3353 Å, b = 4.3353 Å, c = 4.3353 Å
α = 90.00°, β = 90.00°, γ = 90.00°
Positions (direct):
Fe (0.0000, 0.0000, 0.0000)
Re (0.5000, 0.5000, 0.5000)
Os (0.0000, 0.0000, 0.5000)
Os (0.0000, 0.5000, 0.0000)
Os (0.5000, 0.0000, 0.0000)

***

<x>
The following is a DFT calculation (PBE-GGA) of FeReOs3 after structural relaxation.

Computed properties:
- SG = Pm-3m

a = 4.6903 Å, b = 4.6903 Å, c = 4.6903 Å
α = 90.00°, β = 90.00°, γ = 90.00°
Positions (direct):
Fe (0.0000, 0.0000, 0.0000)
Re (0.5000, 0.5000, 0.5000)
Os (0.0000, 0.5000, 0.5000)
Os (0.5000, 0.0000, 0.5000)
Os (0.5000, 0.5000, 0.0000)

***

It comes down to <w>, which is 450 meV per atom more stable than the next structure.

***

<w>
The following is a DFT calculation (PBE-GGA) of FeRe2OsRh after structural relaxation.

Computed properties:
- SG = P4/mmm

a = 4.6555 Å, b = 4.6555 Å, c = 4.4960 Å
α = 90.00°, β = 90.00°, γ = 90.00°
Positions (direct):
Fe (0.0000, 0.0000, 0.0000)
Re (0.0000, 0.5000, 0.5000)
Re (0.5000, 0.0000, 0.5000)
Os (0.0000, 0.0000, 0.5000)
Rh (0.5000, 0.5000, 0.0000)

***

<x>
The following is a DFT calculation (PBE-GGA) of FeRe2OsRh after structural relaxation.

Computed properties:
- SG = P4/mmm

a = 4.3544 Å, b = 4.3544 Å, c = 4.3614 Å
α = 90.00°, β = 90.00°, γ = 90.00°
Positions (direct):
Fe (0.0000, 0.0000, 0.0000)
Re (0.0000, 0.5000, 0.0000)
Re (0.5000, 0.0000, 0.0000)
Os (0.0000, 0.0000, 0.5000)
Rh (0.5000, 0.5000, 0.5000)

***

It comes down to <x>, which is 433 meV per atom more stable than the next structure.

***

<w>
The following is a DFT calculation (PBE-GGA) of FeOsRh6 after structural relaxation.

Computed properties:
- SG = P4/mmm

a = 5.4083 Å, b = 5.4083 Å, c = 3.8257 Å
α = 90.00°, β = 90.00°, γ = 90.00°
Positions (direct):
Fe (0.0000, 0.0000, 0.0000)
Os (0.5000, 0.5000, 0.0000)
Rh (0.0000, 0.5000, 0.0000)
Rh (0.2515, 0.2515, 0.5000)
Rh (0.2515, 0.7485, 0.5000)
Rh (0.5000, 0.0000, 0.0000)
Rh (0.7485, 0.2515, 0.5000)
Rh (0.7485, 0.7485, 0.5000)

***

<x>
The following is a DFT calculation (PBE-GGA) of FeOsRh6 after structural relaxation.

Computed properties:
- SG = P4/mmm

a = 3.8252 Å, b = 3.8252 Å, c = 7.6533 Å
α = 90.00°, β = 90.00°, γ = 90.00°
Positions (direct):
Fe (0.0000, 0.0000, 0.0000)
Os (0.0000, 0.0000, 0.5000)
Rh (0.0000, 0.5000, 0.2511)
Rh (0.0000, 0.5000, 0.7489)
Rh (0.5000, 0.0000, 0.2511)
Rh (0.5000, 0.0000, 0.7489)
Rh (0.5000, 0.5000, 0.0000)
Rh (0.5000, 0.5000, 0.5000)

***

It comes down to <w>, which is 9 meV per atom more stable than the next structure.

***

<w>
The following is a DFT calculation (PBE-GGA) of FeOs2Ru after structural relaxation.

Computed properties:
- SG = Pmm2

a = 2.7014 Å, b = 3.7899 Å, c = 5.3095 Å
α = 90.00°, β = 90.00°, γ = 90.00°
Positions (direct):
Fe (0.0000, 0.0000, 0.0000)
Os (0.0000, 0.0000, 0.4982)
Os (0.5000, 0.5000, 0.2446)
Ru (0.5000, 0.5000, 0.7583)

***

<x>
The following is a DFT calculation (PBE-GGA) of FeOs2Ru after structural relaxation.

Computed properties:
- SG = Pmmm

a = 2.7694 Å, b = 4.5057 Å, c = 4.5203 Å
α = 90.00°, β = 90.00°, γ = 90.00°
Positions (direct):
Fe (0.0000, 0.0000, 0.0000)
Os (0.0000, 0.5000, 0.5000)
Os (0.5000, 0.0000, 0.5000)
Ru (0.5000, 0.5000, 0.0000)

***

It comes down to <w>, which is 325 meV per atom more stable than the next structure.

***

<w>
The following is a DFT calculation (PBE-GGA) of FeOs2Ru after structural relaxation.

Computed properties:
- SG = Immm

a = 5.2676 Å, b = 5.2676 Å, c = 5.2676 Å
α = 149.21°, β = 131.44°, γ = 58.61°
Positions (direct):
Fe (0.0000, 0.0000, 0.0000)
Os (0.2205, 0.7205, 0.5000)
Os (0.7795, 0.2795, 0.5000)
Ru (0.5000, 0.5000, 0.0000)

***

<x>
The following is a DFT calculation (PBE-GGA) of FeOs2Ru after structural relaxation.

Computed properties:
- SG = P4/mmm

a = 4.4719 Å, b = 4.4719 Å, c = 2.7833 Å
α = 90.00°, β = 90.00°, γ = 90.00°
Positions (direct):
Fe (0.0000, 0.0000, 0.0000)
Os (0.0000, 0.5000, 0.5000)
Os (0.5000, 0.0000, 0.5000)
Ru (0.5000, 0.5000, 0.0000)

***

<y>
The following is a DFT calculation (PBE-GGA) of FeOs2Ru after structural relaxation.

Computed properties:
- SG = I4/mmm

a = 4.6230 Å, b = 4.6230 Å, c = 4.6230 Å
α = 131.91°, β = 131.91°, γ = 70.37°
Positions (direct):
Fe (0.0000, 0.0000, 0.0000)
Os (0.2500, 0.7500, 0.5000)
Os (0.7500, 0.2500, 0.5000)
Ru (0.5000, 0.5000, 0.0000)

***

It comes down to <y>, which is 167 meV per atom more stable than the next structure.